Entry from the Alexandria database: a geometry-optimized AlSnO3 structure (GGA-PBEsol).

Geometry as CIF:
```
data_AlSnO3
_chemical_formula_sum 'Al2 Sn2 O6'
_space_group_name_H-M_alt 'P 63/m m c'
_space_group_IT_number 194
_space_group_name_Hall '-P 6c 2c'
_cell_length_a 3.3989
_cell_length_b 3.3989
_cell_length_c 12.2704
_cell_angle_alpha 90.00
_cell_angle_beta 90.00
_cell_angle_gamma 120.00
loop_
_atom_site_label
_atom_site_fract_x
_atom_site_fract_y
_atom_site_fract_z
_atom_site_occupancy
Al1 0.0000 0.0000 0.0000 1
Sn1 0.3333 0.6667 0.2500 1
O1 0.0000 0.0000 0.2500 1
O2 0.3333 0.6667 0.0685 1
```

## Properties
electronic total energy: -6.463 eV per atom
mass density: 5.2 g/cm³